Record 1
TbGa4Pd2Pt after structural relaxation. Source: the Alexandria database, functional PBE.

Summary:
The value obtained for the calculated formation energy is -5.2 eV per formula unit.

Geometry as CIF:
```
data_TbGa4Pd2Pt
_chemical_formula_sum 'Tb3 Ga12 Pd6 Pt3'
_space_group_name_H-M_alt 'R -3 m'
_space_group_IT_number 166
_space_group_name_Hall '-R 3 2"'
_cell_length_a 4.3096
_cell_length_b 4.3096
_cell_length_c 26.0983
_cell_angle_alpha 90.00
_cell_angle_beta 90.00
_cell_angle_gamma 120.00
loop_
_atom_site_label
_atom_site_type_symbol
_atom_site_fract_x
_atom_site_fract_y
_atom_site_fract_z
_atom_site_occupancy
Tb1 Tb 0.0000 0.0000 0.0000 1
Ga1 Ga 0.0000 0.0000 0.1312 1
Ga2 Ga 0.0000 0.0000 0.3970 1
Pd1 Pd 0.0000 0.0000 0.2442 1
Pt1 Pt 0.0000 0.0000 0.5000 1
```

---

Record 2
La3PrTl4Se8 after structural relaxation. Source: the Alexandria database, functional PBE.

Summary:
Its formation energy from raw total energies is -1438 meV/atom.

Geometry as CIF:
```
data_La3PrTl4Se8
_chemical_formula_sum 'La9 Pr3 Tl12 Se24'
_space_group_name_H-M_alt 'R -3 m'
_space_group_IT_number 166
_space_group_name_Hall '-R 3 2"'
_cell_length_a 8.8187
_cell_length_b 8.8187
_cell_length_c 23.1198
_cell_angle_alpha 90.00
_cell_angle_beta 90.00
_cell_angle_gamma 120.00
loop_
_atom_site_label
_atom_site_type_symbol
_atom_site_fract_x
_atom_site_fract_y
_atom_site_fract_z
_atom_site_occupancy
La1 La 0.0000 0.5000 0.0000 1
Pr1 Pr 0.0000 0.0000 0.0000 1
Tl1 Tl 0.0000 0.0000 0.5000 1
Tl2 Tl 0.0000 0.5000 0.5000 1
Se1 Se 0.0000 0.0000 0.2628 1
Se2 Se 0.0018 0.5009 0.7372 1
```

---

Record 3
K3Si2As4 after structural relaxation. Source: the Alexandria database, functional PBE.

Summary:
Its formation energy from raw total energies is -318 meV/atom.

Geometry as CIF:
```
data_K3Si2As4
_chemical_formula_sum 'K12 Si8 As16'
_space_group_name_H-M_alt 'C 1 2/c 1'
_space_group_IT_number 15
_space_group_name_Hall '-C 2yc'
_cell_length_a 15.0086
_cell_length_b 10.7115
_cell_length_c 6.6827
_cell_angle_alpha 90.00
_cell_angle_beta 90.86
_cell_angle_gamma 90.00
loop_
_atom_site_label
_atom_site_type_symbol
_atom_site_fract_x
_atom_site_fract_y
_atom_site_fract_z
_atom_site_occupancy
K1 K 0.0000 0.1034 0.2500 1
K2 K 0.1217 0.3693 0.5189 1
Si1 Si 0.2144 0.1173 0.9506 1
As1 As 0.1356 0.3081 0.0118 1
As2 As 0.1682 0.0721 0.6063 1
```

---

Record 4
NbTe3Os after structural relaxation. Source: the Alexandria database, functional PBE.

Summary:
Its formation energy from raw total energies is 1197 meV/atom. Its energy above the most stable polymorph in this dataset is 0.000 eV per atom.

Geometry as CIF:
```
data_NbTe3Os
_chemical_formula_sum 'Nb1 Te3 Os1'
_space_group_name_H-M_alt 'P m -3 m'
_space_group_IT_number 221
_space_group_name_Hall '-P 4 2 3'
_cell_length_a 5.1376
_cell_length_b 5.1376
_cell_length_c 5.1376
_cell_angle_alpha 90.00
_cell_angle_beta 90.00
_cell_angle_gamma 90.00
loop_
_atom_site_label
_atom_site_type_symbol
_atom_site_fract_x
_atom_site_fract_y
_atom_site_fract_z
_atom_site_occupancy
Nb1 Nb 0.0000 0.0000 0.0000 1
Te1 Te 0.0000 0.5000 0.5000 1
Os1 Os 0.5000 0.5000 0.5000 1
```

---

Number 1: calculated volume 17.49 Å³/atom. Number 2: calculated volume 32.44 Å³/atom. Number 3: calculated volume 29.84 Å³/atom. Number 4: calculated volume 27.12 Å³/atom.